Density functional theory data (PBE-GGA) for crystalline Tb3CeNd2Y6 at its relaxed geometry.

The space group is C2/m (No. 12) and the conventional cell measures 6.225, 10.780 and 11.845 Å, with angles of 90.00, 100.08 and 90.00 degrees. The distinct sites, in fractional coordinates, are Tb at (0.000, 0.000, 0.000), Tb at (0.000, 0.333, 0.000), Ce at (0.000, 0.500, 0.500), Nd at (0.000, 0.166, 0.500), Y at (0.247, 0.500, 0.248) and Y at (0.249, 0.335, 0.751).

The magnetization comes out at 1.0 μB per formula unit. The energy comes out at -135.39 eV/cell.